[1]
## Co2BiH2 (PBEsol)

Data for a relaxed Co2BiH2 crystal.

It has space group I4/mmm (No. 139), with a = 3.240 Å, b = 3.240 Å, c = 10.071 Å, α = 90.00°, β = 90.00° and γ = 90.00°. The inequivalent atoms are Co at (0.000, 0.000, 0.193), Bi at (0.000, 0.000, 0.500) and H at (0.000, 0.500, 0.250).

The energy is -5.0648 eV per atom. For the density of states at the Fermi level, the calculation gives 4.14 states/eV/f.u. Its volume is 105.73 Å³/cell.

---

[2]
## CoBiHRu2 (PBEsol)

Data for a relaxed CoBiHRu2 crystal.

It has space group P4/mmm (No. 123), with a = 4.995 Å, b = 4.995 Å, c = 3.412 Å, α = 90.00°, β = 90.00° and γ = 90.00°. The inequivalent atoms are Co at (0.000, 0.000, 0.000), Bi at (0.500, 0.500, 0.500), H at (0.500, 0.500, 0.000) and Ru at (0.000, 0.500, 0.500).

The energy is -5.2339 eV per atom. For the density of states at the Fermi level, the calculation gives 7.74 states/eV/f.u. Its volume is 85.12 Å³/cell.